1.
Below is a geometry-optimized TbPr3Sn2 structure, with properties calculated at the PBE-GGA level.

Cell: 4.6739 4.6739 8.7966 Å, 90.00 90.00 90.00°
Closest atoms and distances in Å follow each position.
Element x y z (fractional)
1 Tb 0.0000 0.0000 0.0000  4 Pr 3.30, 4 Sn 3.37
2 Pr 0.0000 0.5000 0.3504  5 Sn 3.29-3.37
3 Pr 0.5000 0.0000 0.6496  5 Sn 3.29-3.37
4 Pr 0.5000 0.5000 0.0000  4 Tb 3.30, 4 Sn 3.37
5 Sn 0.0000 0.5000 0.7242  7 Pr 3.29-3.37, 2 Tb 3.37
6 Sn 0.5000 0.0000 0.2758  7 Pr 3.29-3.37, 2 Tb 3.37

Mass density (Mg/m³): 7.078
Energy of formation from the pure elements (eV per formula unit): -3.448
Volume (A^3/atom): 32.0
Size of the total moment (μB per cell): 0.00
Space-group type: No. 115


2.
Below is a geometry-optimized TbPr4Sn4 structure, with properties calculated at the PBE-GGA level.

Cell: 9.5807 9.5807 6.5188 Å, 90.00 90.00 90.00°
Closest atoms and distances in Å follow each position.
Element x y z (fractional)
1 Tb 0.2500 0.2500 0.2500  4 Sn 2.95
2 Tb 0.7500 0.7500 0.7500  4 Sn 2.95
3 Pr 0.0369 0.6691 0.1141  4 Sn 3.14-3.38
4 Pr 0.1691 0.9631 0.6141  4 Sn 3.14-3.38
5 Pr 0.3309 0.5369 0.6141  4 Sn 3.14-3.38
6 Pr 0.4631 0.8309 0.1141  4 Sn 3.14-3.38
7 Pr 0.5369 0.1691 0.8859  4 Sn 3.14-3.38
8 Pr 0.6691 0.4631 0.3859  4 Sn 3.14-3.38
9 Pr 0.8309 0.0369 0.3859  4 Sn 3.14-3.38
10 Pr 0.9631 0.3309 0.8859  4 Sn 3.14-3.38
11 Sn 0.0214 0.6431 0.6067  1 Tb 2.95, 1 Sn 3.10, 2 Pr 3.14-3.22
12 Sn 0.1431 0.9786 0.1067  1 Tb 2.95, 1 Sn 3.10, 2 Pr 3.14-3.22
13 Sn 0.3569 0.5214 0.1067  1 Tb 2.95, 1 Sn 3.10, 2 Pr 3.14-3.22
14 Sn 0.4786 0.8569 0.6067  1 Tb 2.95, 1 Sn 3.10, 2 Pr 3.14-3.22
15 Sn 0.5214 0.1431 0.3933  1 Tb 2.95, 1 Sn 3.10, 2 Pr 3.14-3.22
16 Sn 0.6431 0.4786 0.8933  1 Tb 2.95, 1 Sn 3.10, 2 Pr 3.14-3.22
17 Sn 0.8569 0.0214 0.8933  1 Tb 2.95, 1 Sn 3.10, 2 Pr 3.14-3.22
18 Sn 0.9786 0.3569 0.3933  1 Tb 2.95, 1 Sn 3.10, 2 Pr 3.14-3.22

Mass density (Mg/m³): 6.646
Energy of formation from the pure elements (eV per formula unit): -4.473
Volume (A^3/atom): 33.2
Size of the total moment (μB per cell): 0.00
Space-group type: No. 86


3.
Below is a geometry-optimized Tb2PrSn structure, with properties calculated at the PBE-GGA level.

Cell: 7.0540 7.0540 6.9422 Å, 90.00 90.00 134.20°
Closest atoms and distances in Å follow each position.
Element x y z (fractional)
1 Tb 0.1327 0.8673 0.5201  3 Sn 3.12-3.22, 2 Tb 3.19-3.46, 2 Pr 3.43
2 Tb 0.1327 0.8673 0.9799  3 Sn 3.12-3.22, 2 Tb 3.19-3.46, 2 Pr 3.43
3 Tb 0.8673 0.1327 0.0201  3 Sn 3.12-3.22, 2 Tb 3.19-3.46, 2 Pr 3.43
4 Tb 0.8673 0.1327 0.4799  3 Sn 3.12-3.22, 2 Tb 3.19-3.46, 2 Pr 3.43
5 Pr 0.4312 0.5688 0.7500  1 Sn 3.18, 4 Tb 3.43
6 Pr 0.5688 0.4312 0.2500  1 Sn 3.18, 4 Tb 3.43
7 Sn 0.3244 0.6756 0.2500  6 Tb 3.12-3.22, 1 Pr 3.18
8 Sn 0.6756 0.3244 0.7500  6 Tb 3.12-3.22, 1 Pr 3.18

Mass density (Mg/m³): 7.744
Energy of formation from the pure elements (eV per formula unit): -1.250
Volume (A^3/atom): 31.0
Size of the total moment (μB per cell): 0.00
Space-group type: No. 63


4.
Below is a geometry-optimized Tb2PrSn9 structure, with properties calculated at the PBE-GGA level.

Cell: 4.7214 4.7214 14.3835 Å, 90.00 90.00 90.00°
Closest atoms and distances in Å follow each position.
Element x y z (fractional)
1 Tb 0.0000 0.0000 0.1655  12 Sn 3.33-3.35
2 Tb 0.0000 0.0000 0.8345  12 Sn 3.33-3.35
3 Pr 0.0000 0.0000 0.5000  12 Sn 3.34-3.41
4 Sn 0.0000 0.5000 0.0000  8 Sn 3.34, 4 Tb 3.35
5 Sn 0.0000 0.5000 0.3289  2 Tb 3.33, 8 Sn 3.34-3.41, 2 Pr 3.41
6 Sn 0.0000 0.5000 0.6711  2 Tb 3.33, 8 Sn 3.34-3.41, 2 Pr 3.41
7 Sn 0.5000 0.0000 0.0000  8 Sn 3.34, 4 Tb 3.35
8 Sn 0.5000 0.0000 0.3289  2 Tb 3.33, 8 Sn 3.34-3.41, 2 Pr 3.41
9 Sn 0.5000 0.0000 0.6711  2 Tb 3.33, 8 Sn 3.34-3.41, 2 Pr 3.41
10 Sn 0.5000 0.5000 0.1642  4 Tb 3.34, 8 Sn 3.34
11 Sn 0.5000 0.5000 0.5000  4 Pr 3.34, 8 Sn 3.41
12 Sn 0.5000 0.5000 0.8358  4 Tb 3.34, 8 Sn 3.34

Mass density (Mg/m³): 7.909
Energy of formation from the pure elements (eV per formula unit): -5.511
Volume (A^3/atom): 26.7
Size of the total moment (μB per cell): 0.00
Space-group type: No. 123